(1)
{"formula": "TcAgW", "functional": "PBE", "state": "optimized geometry", "lattice": [[-2.0038, 3.3810, -1.6537], [-3.1824, -2.4227, -1.0973], [-4.9170, 1.9524, 9.9499]], "species": ["Ag", "Ag", "Ag", "Ag", "W", "W", "W", "W", "Tc", "Tc", "Tc", "Tc"], "fractional_positions": [[0.0000, 0.5000, 0.7946], [0.5000, 0.5000, 0.6416], [0.0000, 0.0000, 0.2946], [0.5000, 0.0000, 0.1416], [0.5000, 0.5000, 0.9660], [0.0000, 0.0000, 0.6066], [0.0000, 0.5000, 0.1066], [0.5000, 0.0000, 0.4660], [0.0000, 0.0000, 0.9686], [0.0000, 0.5000, 0.4686], [0.5000, 0.5000, 0.3340], [0.5000, 0.0000, 0.8340]], "ef_mev_per_atom": 449, "spacegroup": "Amm2, No. 38", "magnetic_moment_mub_per_atom": 0.0000, "dos_at_fermi_per_ev_atom": 0.64, "vol_a3_per_atom": 16.6}

(2)
{"formula": "FeTeBr2", "functional": "PBE", "state": "optimized geometry", "lattice": [[-2.8600, 1.1181, 4.0934], [1.0553, -4.5989, 1.9804], [3.8126, 3.1214, -1.3807]], "species": ["Br", "Br", "Fe", "Te"], "fractional_positions": [[0.0000, 0.0000, 0.0000], [0.2500, 0.7500, 0.5000], [0.5000, 0.5000, 0.0000], [0.7500, 0.2500, 0.5000]], "spacegroup": "I-4m2, No. 119", "e_form_raw_ev_per_atom": 0.590, "magnetic_moment_mub_per_atom": 0.8861, "dos_at_fermi_per_ev_atom": 0.96, "vol_a3_per_atom": 23.7}

(3)
{"formula": "CdGaH4Cl", "functional": "PBE", "state": "optimized geometry", "lattice": [[-4.2358, -4.1065, 0.2302], [0.5914, -3.2951, 4.8632], [-5.2387, 1.5885, 5.1802]], "species": ["Ga", "Ga", "H", "H", "H", "H", "H", "H", "H", "H", "Cd", "Cd", "Cl", "Cl"], "fractional_positions": [[0.3985, 0.3985, 0.2735], [0.6015, 0.6015, 0.7265], [0.5302, 0.1395, 0.2145], [0.3317, 0.3317, 0.5164], [0.5860, 0.5860, 0.1839], [0.6683, 0.6683, 0.4836], [0.1395, 0.5302, 0.2145], [0.4698, 0.8605, 0.7855], [0.8605, 0.4698, 0.7855], [0.4140, 0.4140, 0.8161], [0.2042, 0.2042, 0.8019], [0.7958, 0.7958, 0.1981], [0.9264, 0.9264, 0.8163], [0.0736, 0.0736, 0.1837]], "spacegroup": "C2/m, No. 12", "dft_energy_ev_per_atom": -2.830, "magnetic_moment_mub_per_atom": 0.0000, "dos_at_fermi_per_ev_atom": 0.00, "vol_a3_per_atom": 15.6}